No. 1
Density functional theory data (GGA-PBE) for BeZnH2S after structural relaxation.

The calculation puts the total magnetic moment at 0.0 μB/cell. As for the total energy: -0.251 Ry per atom. The value obtained for the energy above the most stable polymorph in this dataset is 0.05 eV per formula unit.

abc: 4.222 3.601 8.356
angles: 90.00 95.72 90.00
Positions (direct):
1 S 0.340 0.000 0.573
2 S 0.340 0.500 0.073
3 Be 0.095 0.000 0.058
4 Zn 0.840 0.000 0.729
5 Be 0.095 0.500 0.558
6 Zn 0.840 0.500 0.229
7 H 0.881 0.000 0.192
8 H 0.843 0.000 0.924
9 H 0.881 0.500 0.692
10 H 0.843 0.500 0.424


No. 2
Density functional theory data (GGA-PBE) for BeZnH2S after structural relaxation.

The calculation puts the total magnetic moment at 0.0 μB/cell. As for the total energy: -0.250 Ry per atom. The value obtained for the energy above the most stable polymorph in this dataset is 0.13 eV per formula unit.

abc: 4.598 3.350 4.759
angles: 90.00 118.16 90.00
Positions (direct):
1 Be 0.332 0.000 0.997
2 H 0.630 0.000 0.958
3 S 0.320 0.500 0.260
4 Zn 0.670 0.000 0.634
5 H 0.046 0.000 0.674